Record 1
Density functional theory data (PBE-GGA) for a relaxed structure of LiIn2Hg2Bi.

Geometry as CIF:
```
data_LiIn2Hg2Bi
_chemical_formula_sum 'Li3 In6 Hg6 Bi3'
_space_group_name_H-M_alt 'R -3 m'
_space_group_IT_number 166
_space_group_name_Hall '-R 3 2"'
_cell_length_a 4.6861
_cell_length_b 4.6861
_cell_length_c 25.5006
_cell_angle_alpha 90.00
_cell_angle_beta 90.00
_cell_angle_gamma 120.00
loop_
_atom_site_label
_atom_site_type_symbol
_atom_site_fract_x
_atom_site_fract_y
_atom_site_fract_z
_atom_site_occupancy
Li1 Li 0.0000 0.0000 0.0000 1
In1 In 0.0000 0.0000 0.2358 1
Hg1 Hg 0.0000 0.0000 0.3696 1
Bi1 Bi 0.0000 0.0000 0.5000 1
```

Results
Calculated formation energy: -0.068 eV/atom
Size of the total moment: 0.0000 μB/atom
Volume: 485.0 Å³/cell



Record 2
Density functional theory data (PBE-GGA) for a relaxed structure of LiInHg2Bi.

Geometry as CIF:
```
data_LiInHg2Bi
_chemical_formula_sum 'Li2 In2 Hg4 Bi2'
_space_group_name_H-M_alt 'P 1 21/m 1'
_space_group_IT_number 11
_cell_length_a 7.1122
_cell_length_b 4.9937
_cell_length_c 7.6874
_cell_angle_alpha 90.00
_cell_angle_beta 101.45
_cell_angle_gamma 90.00
loop_
_space_group_symop_operation_xyz
'x,y,z'
'-x,-y,-z'
'-x,y+1/2,-z'
'x,-y+1/2,z'
loop_
_atom_site_label
_atom_site_type_symbol
_atom_site_fract_x
_atom_site_fract_y
_atom_site_fract_z
_atom_site_occupancy
Li1 Li 0.1204 0.2500 0.2824 1
In1 In 0.4917 0.2500 0.1537 1
Hg1 Hg 0.1270 0.7500 0.4724 1
Hg2 Hg 0.3946 0.2500 0.6113 1
Bi1 Bi 0.1706 0.7500 0.0599 1
```

Results
Calculated formation energy: -0.110 eV/atom
Size of the total moment: 0.0000 μB/atom
Volume: 267.6 Å³/cell



Record 3
Density functional theory data (PBE-GGA) for a relaxed structure of Li2InHgBi.

Geometry as CIF:
```
data_Li2InHgBi
_chemical_formula_sum 'Li4 In2 Hg2 Bi2'
_space_group_name_H-M_alt 'P 1 21/m 1'
_space_group_IT_number 11
_cell_length_a 7.0901
_cell_length_b 4.3890
_cell_length_c 7.4515
_cell_angle_alpha 90.00
_cell_angle_beta 99.36
_cell_angle_gamma 90.00
loop_
_space_group_symop_operation_xyz
'x,y,z'
'-x,-y,-z'
'-x,y+1/2,-z'
'x,-y+1/2,z'
loop_
_atom_site_label
_atom_site_type_symbol
_atom_site_fract_x
_atom_site_fract_y
_atom_site_fract_z
_atom_site_occupancy
Li1 Li 0.1481 0.2500 0.4510 1
Li2 Li 0.3331 0.2500 0.0490 1
In1 In 0.4461 0.7500 0.3544 1
Hg1 Hg 0.0595 0.7500 0.1559 1
Bi1 Bi 0.2492 0.7500 0.7540 1
```

Results
Calculated formation energy: -0.262 eV/atom
Size of the total moment: 0.0000 μB/atom
Volume: 228.8 Å³/cell



Record 4
Density functional theory data (PBE-GGA) for a relaxed structure of Li2InHg4Bi.

Geometry as CIF:
```
data_Li2InHg4Bi
_chemical_formula_sum 'Li2 In1 Hg4 Bi1'
_space_group_name_H-M_alt 'P 4/m m m'
_space_group_IT_number 123
_space_group_name_Hall '-P 4 2'
_cell_length_a 4.3256
_cell_length_b 4.3256
_cell_length_c 10.7484
_cell_angle_alpha 90.00
_cell_angle_beta 90.00
_cell_angle_gamma 90.00
loop_
_atom_site_label
_atom_site_type_symbol
_atom_site_fract_x
_atom_site_fract_y
_atom_site_fract_z
_atom_site_occupancy
Li1 Li 0.0000 0.0000 0.1190 1
In1 In 0.5000 0.5000 0.5000 1
Hg1 Hg 0.0000 0.5000 0.2843 1
Bi1 Bi 0.5000 0.5000 0.0000 1
```

Results
Calculated formation energy: -0.065 eV/atom
Size of the total moment: 0.0000 μB/atom
Volume: 201.1 Å³/cell



Record 5
Density functional theory data (PBE-GGA) for a relaxed structure of LuInHgBi.

Geometry as CIF:
```
data_LuInHgBi
_chemical_formula_sum 'Lu4 In4 Hg4 Bi4'
_space_group_name_H-M_alt 'F -4 3 m'
_space_group_IT_number 216
_space_group_name_Hall 'F -4 2 3'
_cell_length_a 7.6016
_cell_length_b 7.6016
_cell_length_c 7.6016
_cell_angle_alpha 90.00
_cell_angle_beta 90.00
_cell_angle_gamma 90.00
loop_
_atom_site_label
_atom_site_type_symbol
_atom_site_fract_x
_atom_site_fract_y
_atom_site_fract_z
_atom_site_occupancy
Lu1 Lu 0.0000 0.0000 0.0000 1
In1 In 0.0000 0.0000 0.5000 1
Hg1 Hg 0.2500 0.2500 0.7500 1
Bi1 Bi 0.2500 0.2500 0.2500 1
```

Results
Calculated formation energy: -0.181 eV/atom
Size of the total moment: 0.0000 μB/atom
Volume: 439.3 Å³/cell



Record 6
Density functional theory data (PBE-GGA) for a relaxed structure of MgInHgBi.

Geometry as CIF:
```
data_MgInHgBi
_chemical_formula_sum 'Mg4 In4 Hg4 Bi4'
_space_group_name_H-M_alt 'F -4 3 m'
_space_group_IT_number 216
_space_group_name_Hall 'F -4 2 3'
_cell_length_a 7.5840
_cell_length_b 7.5840
_cell_length_c 7.5840
_cell_angle_alpha 90.00
_cell_angle_beta 90.00
_cell_angle_gamma 90.00
loop_
_atom_site_label
_atom_site_type_symbol
_atom_site_fract_x
_atom_site_fract_y
_atom_site_fract_z
_atom_site_occupancy
Mg1 Mg 0.0000 0.0000 0.0000 1
In1 In 0.0000 0.0000 0.5000 1
Hg1 Hg 0.2500 0.2500 0.7500 1
Bi1 Bi 0.2500 0.2500 0.2500 1
```

Results
Calculated formation energy: -0.068 eV/atom
Size of the total moment: 0.0000 μB/atom
Volume: 436.2 Å³/cell
Energy above the lowest structure with this stoichiometry: 15.7 meV/atom



Record 7
Density functional theory data (PBE-GGA) for a relaxed structure of MgInHgBi.

Geometry as CIF:
```
data_MgInHgBi
_chemical_formula_sum 'Mg1 In1 Hg1 Bi1'
_space_group_name_H-M_alt 'P 4 m m'
_space_group_IT_number 99
_cell_length_a 3.4291
_cell_length_b 3.4291
_cell_length_c 8.9513
_cell_angle_alpha 90.00
_cell_angle_beta 90.00
_cell_angle_gamma 90.00
loop_
_space_group_symop_operation_xyz
'x,y,z'
'-y,x,z'
'-x,-y,z'
'y,-x,z'
'-x,y,z'
'y,x,z'
'x,-y,z'
'-y,-x,z'
loop_
_atom_site_label
_atom_site_type_symbol
_atom_site_fract_x
_atom_site_fract_y
_atom_site_fract_z
_atom_site_occupancy
Mg1 Mg 0.0000 0.0000 0.0000 1
In1 In 0.0000 0.0000 0.4509 1
Hg1 Hg 0.5000 0.5000 0.1947 1
Bi1 Bi 0.5000 0.5000 0.7493 1
```

Results
Calculated formation energy: -0.084 eV/atom
Size of the total moment: 0.0000 μB/atom
Volume: 105.3 Å³/cell
Energy above the lowest structure with this stoichiometry: 0.0 meV/atom



Record 8
Density functional theory data (PBE-GGA) for a relaxed structure of Mg5In2Hg2Bi.

Geometry as CIF:
```
data_Mg5In2Hg2Bi
_chemical_formula_sum 'Mg10 In4 Hg4 Bi2'
_space_group_name_H-M_alt 'P 4/m b m'
_space_group_IT_number 127
_space_group_name_Hall '-P 4 2ab'
_cell_length_a 10.8296
_cell_length_b 10.8296
_cell_length_c 4.2242
_cell_angle_alpha 90.00
_cell_angle_beta 90.00
_cell_angle_gamma 90.00
loop_
_atom_site_label
_atom_site_type_symbol
_atom_site_fract_x
_atom_site_fract_y
_atom_site_fract_z
_atom_site_occupancy
Mg1 Mg 0.0000 0.5000 0.0000 1
Mg2 Mg 0.0648 0.2046 0.0000 1
In1 In 0.1696 0.6696 0.5000 1
Hg1 Hg 0.1263 0.3737 0.5000 1
Bi1 Bi 0.0000 0.0000 0.5000 1
```

Results
Calculated formation energy: -0.083 eV/atom
Size of the total moment: 0.0000 μB/atom
Volume: 495.4 Å³/cell



Record 9
Density functional theory data (PBE-GGA) for a relaxed structure of Na3InHg2Bi3.

Geometry as CIF:
```
data_Na3InHg2Bi3
_chemical_formula_sum 'Na3 In1 Hg2 Bi3'
_space_group_name_H-M_alt 'P -6 2 m'
_space_group_IT_number 189
_space_group_name_Hall 'P -6 -2'
_cell_length_a 9.2219
_cell_length_b 9.2219
_cell_length_c 3.5135
_cell_angle_alpha 90.00
_cell_angle_beta 90.00
_cell_angle_gamma 120.00
loop_
_atom_site_label
_atom_site_type_symbol
_atom_site_fract_x
_atom_site_fract_y
_atom_site_fract_z
_atom_site_occupancy
Na1 Na 0.0000 0.3687 0.0000 1
In1 In 0.0000 0.0000 0.0000 1
Hg1 Hg 0.3333 0.6667 0.5000 1
Bi1 Bi 0.0000 0.6913 0.5000 1
```

Results
Calculated formation energy: -0.199 eV/atom
Size of the total moment: 0.0000 μB/atom
Volume: 258.8 Å³/cell



Record 10
Density functional theory data (PBE-GGA) for a relaxed structure of Na2In5Hg3Bi2.

Geometry as CIF:
```
data_Na2In5Hg3Bi2
_chemical_formula_sum 'Na4 In10 Hg6 Bi4'
_space_group_name_H-M_alt 'I 4/m m m'
_space_group_IT_number 139
_space_group_name_Hall '-I 4 2'
_cell_length_a 4.8187
_cell_length_b 4.8187
_cell_length_c 30.7813
_cell_angle_alpha 90.00
_cell_angle_beta 90.00
_cell_angle_gamma 90.00
loop_
_atom_site_label
_atom_site_type_symbol
_atom_site_fract_x
_atom_site_fract_y
_atom_site_fract_z
_atom_site_occupancy
Na1 Na 0.0000 0.0000 0.2498 1
In1 In 0.0000 0.0000 0.0000 1
In2 In 0.0000 0.5000 0.1718 1
Hg1 Hg 0.0000 0.0000 0.4041 1
Hg2 Hg 0.0000 0.0000 0.5000 1
Bi1 Bi 0.0000 0.0000 0.1039 1
```

Results
Calculated formation energy: -0.005 eV/atom
Size of the total moment: 0.0000 μB/atom
Volume: 714.7 Å³/cell



Record 11
Density functional theory data (PBE-GGA) for a relaxed structure of NaIn2HgBi.

Geometry as CIF:
```
data_NaIn2HgBi
_chemical_formula_sum 'Na2 In4 Hg2 Bi2'
_space_group_name_H-M_alt 'P 1 21/m 1'
_space_group_IT_number 11
_cell_length_a 7.3144
_cell_length_b 4.9773
_cell_length_c 7.7546
_cell_angle_alpha 90.00
_cell_angle_beta 91.53
_cell_angle_gamma 90.00
loop_
_space_group_symop_operation_xyz
'x,y,z'
'-x,-y,-z'
'-x,y+1/2,-z'
'x,-y+1/2,z'
loop_
_atom_site_label
_atom_site_type_symbol
_atom_site_fract_x
_atom_site_fract_y
_atom_site_fract_z
_atom_site_occupancy
Na1 Na 0.1524 0.2500 0.0592 1
In1 In 0.3227 0.2500 0.4725 1
In2 In 0.4476 0.7500 0.1688 1
Hg1 Hg 0.0592 0.7500 0.3314 1
Bi1 Bi 0.2705 0.7500 0.7816 1
```

Results
Calculated formation energy: -0.091 eV/atom
Size of the total moment: 0.0000 μB/atom
Volume: 282.2 Å³/cell



Record 12
Density functional theory data (PBE-GGA) for a relaxed structure of NaIn5Hg2Bi.

Geometry as CIF:
```
data_NaIn5Hg2Bi
_chemical_formula_sum 'Na4 In20 Hg8 Bi4'
_space_group_name_H-M_alt 'C m c 21'
_space_group_IT_number 36
_cell_length_a 4.5881
_cell_length_b 15.8689
_cell_length_c 13.5721
_cell_angle_alpha 90.00
_cell_angle_beta 90.00
_cell_angle_gamma 90.00
loop_
_space_group_symop_operation_xyz
'x,y,z'
'-x,-y,z+1/2'
'-x,y,z'
'x,-y,z+1/2'
'x+1/2,y+1/2,z'
'-x+1/2,-y+1/2,z+1/2'
'-x+1/2,y+1/2,z'
'x+1/2,-y+1/2,z+1/2'
loop_
_atom_site_label
_atom_site_type_symbol
_atom_site_fract_x
_atom_site_fract_y
_atom_site_fract_z
_atom_site_occupancy
Na1 Na 0.0000 0.0775 0.0000 1
In1 In 0.0000 0.0845 0.6710 1
In2 In 0.0000 0.0952 0.3517 1
In3 In 0.0000 0.2516 0.8392 1
In4 In 0.0000 0.2585 0.1729 1
In5 In 0.0000 0.4169 0.6853 1
Hg1 Hg 0.0000 0.4185 0.3343 1
Hg2 Hg 0.0000 0.4315 0.0096 1
Bi1 Bi 0.0000 0.2659 0.5090 1
```

Results
Calculated formation energy: -0.046 eV/atom
Size of the total moment: 0.0000 μB/atom
Volume: 988.1 Å³/cell



Which value of volume does entry 2 give? 267.6 Å³/cell